Entry 1:
The following is a DFT calculation (PBE) of a geometry-optimized MnCuRh structure.

abc: 4.617 4.617 4.617
angles: 144.40 135.34 58.37
Element x y z (fractional)
Mn 0.000 0.000 0.000
Cu 0.333 0.333 0.000
Rh 0.661 0.661 0.000

Computed properties:
Density ... 9.21 g/cm3
Total magnetic moment ... 3.34 μB/cell
DOS at the Fermi energy ... 3.51 states/eV per cell
Energy above the lowest structure with this stoichiometry ... 0.0 kJ/mol of atoms
Formation energy from the elements ... -6 meV/atom

Entry 2:
The following is a DFT calculation (PBE) of a geometry-optimized Ba2Tl6InPd structure.

abc: 13.828 13.828 13.828
angles: 31.90 31.90 31.90
Element x y z (fractional)
Ba 0.106 0.106 0.106
Ba 0.281 0.281 0.281
Ba 0.719 0.719 0.719
Ba 0.894 0.894 0.894
Tl 0.081 0.663 0.663
Tl 0.220 0.220 0.655
Tl 0.220 0.655 0.220
Tl 0.337 0.337 0.919
Tl 0.337 0.919 0.337
Tl 0.345 0.780 0.780
Tl 0.655 0.220 0.220
Tl 0.663 0.081 0.663
Tl 0.663 0.663 0.081
Tl 0.780 0.345 0.780
Tl 0.780 0.780 0.345
Tl 0.919 0.337 0.337
In 0.427 0.427 0.427
In 0.573 0.573 0.573
Pd 0.000 0.000 0.000
Pd 0.500 0.500 0.500

Computed properties:
Density ... 8.72 g/cm3
Total magnetic moment ... 0.00 μB/cell
DOS at the Fermi energy ... 12.10 states/eV per cell
Formation energy from the elements ... -219 meV/atom

Entry 3:
The following is a DFT calculation (PBE) of a geometry-optimized TlPH3 structure.

abc: 6.185 4.156 6.953
angles: 90.00 94.13 90.00
Element x y z (fractional)
Tl 0.247 0.250 0.014
Tl 0.753 0.750 0.986
P 0.238 0.250 0.474
P 0.762 0.750 0.526
H 0.050 0.250 0.584
H 0.340 0.001 0.592
H 0.340 0.499 0.592
H 0.660 0.501 0.408
H 0.660 0.999 0.408
H 0.950 0.750 0.416

Computed properties:
Density ... 4.44 g/cm3
Total magnetic moment ... 0.00 μB/cell
DOS at the Fermi energy ... 1.85 states/eV per cell
Energy above the lowest structure with this stoichiometry ... 3.5 kJ/mol of atoms

Entry 4:
The following is a DFT calculation (PBE) of a geometry-optimized SrFe3I12 structure.

abc: 14.351 14.351 14.351
angles: 51.22 51.22 51.22
Element x y z (fractional)
Sr 0.000 0.000 0.000
Sr 0.500 0.500 0.500
Fe 0.103 0.343 0.707
Fe 0.207 0.843 0.603
Fe 0.343 0.707 0.103
Fe 0.603 0.207 0.843
Fe 0.707 0.103 0.343
Fe 0.843 0.603 0.207
I 0.063 0.497 0.067
I 0.067 0.063 0.497
I 0.157 0.169 0.657
I 0.157 0.669 0.657
I 0.169 0.657 0.157
I 0.179 0.814 0.813
I 0.294 0.947 0.952
I 0.313 0.314 0.679
I 0.314 0.679 0.313
I 0.447 0.794 0.452
I 0.452 0.447 0.794
I 0.497 0.067 0.063
I 0.563 0.567 0.997
I 0.567 0.997 0.563
I 0.657 0.157 0.169
I 0.657 0.157 0.669
I 0.669 0.657 0.157
I 0.679 0.313 0.314
I 0.794 0.452 0.447
I 0.813 0.179 0.814
I 0.814 0.813 0.179
I 0.947 0.952 0.294
I 0.952 0.294 0.947
I 0.997 0.563 0.567

Computed properties:
Density ... 3.56 g/cm3
Total magnetic moment ... 27.95 μB/cell
DOS at the Fermi energy ... 20.39 states/eV per cell
DFT total energy ... -52.13 eV/f.u.

Entry 5:
The following is a DFT calculation (PBE) of a geometry-optimized Ag2AsS2 structure.

abc: 9.815 13.106 6.946
angles: 90.00 99.22 90.00
Element x y z (fractional)
Ag 0.000 0.093 0.000
Ag 0.000 0.907 0.500
Ag 0.122 0.394 0.233
Ag 0.122 0.606 0.733
Ag 0.328 0.108 0.501
Ag 0.328 0.892 0.001
Ag 0.445 0.403 0.713
Ag 0.445 0.597 0.213
Ag 0.652 0.102 0.409
Ag 0.652 0.898 0.909
Ag 0.730 0.202 0.819
Ag 0.730 0.798 0.319
Ag 0.735 0.323 0.211
Ag 0.735 0.677 0.711
Ag 0.848 0.500 0.469
Ag 0.848 0.500 0.969
As 0.061 0.176 0.526
As 0.061 0.824 0.026
As 0.071 0.317 0.781
As 0.071 0.683 0.281
As 0.375 0.310 0.192
As 0.375 0.690 0.692
As 0.386 0.165 0.949
As 0.386 0.835 0.449
S 0.175 0.432 0.612
S 0.175 0.568 0.112
S 0.261 0.064 0.118
S 0.261 0.936 0.618
S 0.493 0.254 0.482
S 0.493 0.746 0.982
S 0.527 0.420 0.083
S 0.527 0.580 0.583
S 0.602 0.098 0.032
S 0.602 0.902 0.532
S 0.842 0.368 0.721
S 0.842 0.632 0.221
S 0.895 0.079 0.631
S 0.895 0.921 0.131
S 0.961 0.244 0.237
S 0.961 0.756 0.737

Computed properties:
Density ... 5.34 g/cm3
Total magnetic moment ... 0.00 μB/cell
DOS at the Fermi energy ... 0.06 states/eV per cell
Energy above the lowest structure with this stoichiometry ... 0.0 kJ/mol of atoms

Entry 6:
The following is a DFT calculation (PBE) of a geometry-optimized K2Na2Sn structure.

abc: 8.239 8.239 6.107
angles: 90.00 90.00 90.00
Element x y z (fractional)
K 0.193 0.307 0.000
K 0.307 0.807 0.000
K 0.693 0.193 0.000
K 0.807 0.693 0.000
Na 0.154 0.654 0.500
Na 0.346 0.154 0.500
Na 0.654 0.846 0.500
Na 0.846 0.346 0.500
Sn 0.000 0.000 0.500
Sn 0.500 0.500 0.500

Computed properties:
Density ... 1.95 g/cm3
Total magnetic moment ... 0.00 μB/cell
DOS at the Fermi energy ... 5.40 states/eV per cell
Energy above the lowest structure with this stoichiometry ... 4.7 kJ/mol of atoms
Formation energy from the elements ... -24 meV/atom

Entry 7:
The following is a DFT calculation (PBE) of a geometry-optimized LiAcHo2 structure.

abc: 12.515 12.515 12.515
angles: 16.53 16.53 16.53
Element x y z (fractional)
Li 0.000 0.000 0.000
Ac 0.500 0.500 0.500
Ho 0.087 0.087 0.087
Ho 0.913 0.913 0.913

Computed properties:
Density ... 6.77 g/cm3
Total magnetic moment ... 0.00 μB/cell
DOS at the Fermi energy ... 4.35 states/eV per cell
Energy above the lowest structure with this stoichiometry ... 15.8 kJ/mol of atoms
Formation energy from the elements ... 275 meV/atom

Entry 8:
The following is a DFT calculation (PBE) of a geometry-optimized Ac2YPtO8 structure.

abc: 5.666 5.666 6.297
angles: 90.00 90.00 120.00
Element x y z (fractional)
Ac 0.333 0.667 0.361
Ac 0.667 0.333 0.639
Y 0.000 0.000 0.000
Pt 0.000 0.000 0.500
O 0.160 0.319 0.696
O 0.160 0.840 0.696
O 0.319 0.160 0.304
O 0.333 0.667 0.021
O 0.667 0.333 0.979
O 0.681 0.840 0.696
O 0.840 0.160 0.304
O 0.840 0.681 0.304

Computed properties:
Density ... 8.21 g/cm3
Total magnetic moment ... 3.08 μB/cell
DOS at the Fermi energy ... 7.13 states/eV per cell
DFT total energy ... -82.44 eV/f.u.

Q: Which of these has the highest total magnetic moment?
A: SrFe3I12

Q: total magnetic moment of number 6 (K2Na2Sn)?
A: 0.00 μB/cell

Q: Among the records above, which one has the highest total magnetic moment?
A: SrFe3I12

Q: Among the records above, which one has the lowest density?
A: K2Na2Sn